Record 1
Density functional theory data (PBE-GGA) for an optimized crystal structure of TlCuTeOs. Values from VASP.

Quantum ESPRESSO input file:
```
&SYSTEM
  ibrav = 0, nat = 4, ntyp = 4
/
ATOMIC_SPECIES
Cu 63.55 Cu.upf
Os 190.23 Os.upf
Te 127.60 Te.upf
Tl 204.38 Tl.upf
ATOMIC_POSITIONS crystal
Cu 0.750 0.750 0.750
Os 0.250 0.250 0.250
Te 0.000 0.000 0.000
Tl 0.500 0.500 0.500
CELL_PARAMETERS angstrom
0.000 3.348 3.348
3.348 0.000 3.348
3.348 3.348 0.000
```

Calculated values
Space-group type ... F-43m, No. 216
Total magnetic moment ... 0.0 μB per cell
V ... 75 Å³ per cell
Offset from the most stable computed form ... 0 meV/atom

=====

Record 2
Density functional theory data (PBE-GGA) for an optimized crystal structure of CsKTlAu3. Values from VASP.

Quantum ESPRESSO input file:
```
&SYSTEM
  ibrav = 0, nat = 12, ntyp = 4
/
ATOMIC_SPECIES
Au 196.97 Au.upf
Cs 132.91 Cs.upf
K 39.10 K.upf
Tl 204.38 Tl.upf
ATOMIC_POSITIONS crystal
Au 0.000 0.000 0.000
Au 0.500 0.000 0.000
Au 0.750 0.218 0.204
Au 0.750 0.782 0.204
Au 0.250 0.218 0.796
Au 0.250 0.782 0.796
Cs 0.250 0.000 0.368
Cs 0.750 0.000 0.632
K 0.250 0.500 0.128
K 0.750 0.500 0.872
Tl 0.750 0.500 0.420
Tl 0.250 0.500 0.580
CELL_PARAMETERS angstrom
5.818 0.000 0.000
0.000 6.874 0.000
0.000 0.000 9.500
```

Calculated values
Space-group type ... Pmma, No. 51
V ... 380 Å³ per cell
Uncorrected energy ... -31.7 eV/cell

=====

Record 3
Density functional theory data (PBE-GGA) for an optimized crystal structure of Rb2GdYS4. Values from VASP.

Quantum ESPRESSO input file:
```
&SYSTEM
  ibrav = 0, nat = 8, ntyp = 4
/
ATOMIC_SPECIES
Gd 157.25 Gd.upf
Rb 85.47 Rb.upf
S 32.06 S.upf
Y 88.91 Y.upf
ATOMIC_POSITIONS crystal
Gd 0.000 0.000 0.500
Rb 0.667 0.333 0.250
Rb 0.333 0.667 0.750
S 0.333 0.667 0.096
S 0.333 0.667 0.403
S 0.667 0.333 0.597
S 0.667 0.333 0.904
Y 0.000 0.000 0.000
CELL_PARAMETERS angstrom
4.089 0.000 0.000
-2.044 3.541 0.000
0.000 0.000 15.397
```

Calculated values
Space-group type ... P-3m1, No. 164
Total magnetic moment ... 0.0 μB per cell
V ... 223 Å³ per cell
Uncorrected energy ... -44.4 eV/cell

=====

Record 4
Density functional theory data (PBE-GGA) for an optimized crystal structure of Zr2Bi. Values from VASP.

Quantum ESPRESSO input file:
```
&SYSTEM
  ibrav = 0, nat = 6, ntyp = 2
/
ATOMIC_SPECIES
Bi 208.98 Bi.upf
Zr 91.22 Zr.upf
ATOMIC_POSITIONS crystal
Bi 0.000 0.000 0.000
Bi 0.333 0.333 0.000
Zr 0.667 0.667 0.000
Zr 0.000 0.334 0.500
Zr 0.334 0.667 0.500
Zr 0.667 0.000 0.500
CELL_PARAMETERS angstrom
0.806 -3.118 4.740
5.282 -0.684 2.116
-0.595 4.133 2.820
```

Calculated values
Space-group type ... P-62m, No. 189
Total magnetic moment ... 0.0 μB per cell
V ... 143 Å³ per cell
Uncorrected energy ... -43.2 eV/cell

=====

Record 5
Density functional theory data (PBE-GGA) for an optimized crystal structure of LuInFeHg. Values from VASP.

Quantum ESPRESSO input file:
```
&SYSTEM
  ibrav = 0, nat = 4, ntyp = 4
/
ATOMIC_SPECIES
Fe 55.84 Fe.upf
Hg 200.59 Hg.upf
In 114.82 In.upf
Lu 174.97 Lu.upf
ATOMIC_POSITIONS crystal
Fe 0.750 0.750 0.750
Hg 0.250 0.250 0.250
In 0.000 0.000 0.000
Lu 0.500 0.500 0.500
CELL_PARAMETERS angstrom
0.000 3.444 3.444
3.444 0.000 3.444
3.444 3.444 0.000
```

Calculated values
Space-group type ... F-43m, No. 216
Total magnetic moment ... 2.2 μB per cell
V ... 82 Å³ per cell
Offset from the most stable computed form ... 13 meV/atom

=====

Record 6
Density functional theory data (PBE-GGA) for an optimized crystal structure of TaPb2. Values from VASP.

Quantum ESPRESSO input file:
```
&SYSTEM
  ibrav = 0, nat = 6, ntyp = 2
/
ATOMIC_SPECIES
Pb 207.20 Pb.upf
Ta 180.95 Ta.upf
ATOMIC_POSITIONS crystal
Pb 0.875 0.375 0.375
Pb 0.375 0.875 0.375
Pb 0.375 0.375 0.375
Pb 0.375 0.375 0.875
Ta 0.250 0.250 0.250
Ta 0.500 0.500 0.500
CELL_PARAMETERS angstrom
4.399 2.540 7.184
-4.399 2.540 7.184
0.000 -5.080 7.184
```

Calculated values
Space-group type ... Fd-3m, No. 227
Total magnetic moment ... 0.0 μB per cell
V ... 482 Å³ per cell
Uncorrected energy ... -29.5 eV/cell

=====

Record 7
Density functional theory data (PBE-GGA) for an optimized crystal structure of AcSnOs. Values from VASP.

Quantum ESPRESSO input file:
```
&SYSTEM
  ibrav = 0, nat = 3, ntyp = 3
/
ATOMIC_SPECIES
Ac 227.00 Ac.upf
Os 190.23 Os.upf
Sn 118.71 Sn.upf
ATOMIC_POSITIONS crystal
Ac 0.250 0.250 0.250
Os 0.000 0.000 0.000
Sn 0.750 0.750 0.750
CELL_PARAMETERS angstrom
3.313 -2.485 2.594
2.725 2.310 3.334
-0.742 -0.825 4.759
```

Calculated values
Space-group type ... F-43m, No. 216
Total magnetic moment ... 0.0 μB per cell
V ... 83 Å³ per cell
Uncorrected energy ... -19.2 eV/cell

=====

Record 8
Density functional theory data (PBE-GGA) for an optimized crystal structure of MgBiBOs. Values from VASP.

Quantum ESPRESSO input file:
```
&SYSTEM
  ibrav = 0, nat = 4, ntyp = 4
/
ATOMIC_SPECIES
B 10.81 B.upf
Bi 208.98 Bi.upf
Mg 24.30 Mg.upf
Os 190.23 Os.upf
ATOMIC_POSITIONS crystal
B 0.000 0.000 0.000
Bi 0.500 0.500 0.500
Mg 0.750 0.750 0.750
Os 0.250 0.250 0.250
CELL_PARAMETERS angstrom
-4.214 -1.469 0.677
-3.489 2.804 -0.583
-2.786 -0.561 -3.507
```

Calculated values
Space-group type ... F-43m, No. 216
Total magnetic moment ... 0.0 μB per cell
V ... 65 Å³ per cell
Offset from the most stable computed form ... 0 meV/atom

=====

Record 9
Density functional theory data (PBE-GGA) for an optimized crystal structure of GdCdCuS3. Values from VASP.

Quantum ESPRESSO input file:
```
&SYSTEM
  ibrav = 0, nat = 12, ntyp = 4
/
ATOMIC_SPECIES
Cd 112.41 Cd.upf
Cu 63.55 Cu.upf
Gd 157.25 Gd.upf
S 32.06 S.upf
ATOMIC_POSITIONS crystal
Cd 0.261 0.739 0.250
Cd 0.739 0.261 0.750
Cu 0.977 0.023 0.250
Cu 0.023 0.977 0.750
Gd 0.500 0.500 0.000
Gd 0.500 0.500 0.500
S 0.856 0.144 0.081
S 0.595 0.405 0.250
S 0.856 0.144 0.419
S 0.144 0.856 0.581
S 0.405 0.595 0.750
S 0.144 0.856 0.919
CELL_PARAMETERS angstrom
1.905 -6.159 0.000
1.905 6.159 0.000
0.000 0.000 10.429
```

Calculated values
Space-group type ... Cmcm, No. 63
Total magnetic moment ... 0.0 μB per cell
V ... 245 Å³ per cell
Uncorrected energy ... -55.4 eV/cell

=====

Record 10
Density functional theory data (PBE-GGA) for an optimized crystal structure of In2FeBr6. Values from VASP.

Quantum ESPRESSO input file:
```
&SYSTEM
  ibrav = 0, nat = 9, ntyp = 3
/
ATOMIC_SPECIES
Br 79.90 Br.upf
Fe 55.84 Fe.upf
In 114.82 In.upf
ATOMIC_POSITIONS crystal
Br 0.760 0.760 0.240
Br 0.760 0.240 0.240
Br 0.240 0.760 0.240
Br 0.240 0.240 0.760
Br 0.760 0.240 0.760
Br 0.240 0.760 0.760
Fe 0.000 0.000 0.000
In 0.250 0.250 0.250
In 0.750 0.750 0.750
CELL_PARAMETERS angstrom
0.000 5.113 5.113
5.113 0.000 5.113
5.113 5.113 0.000
```

Calculated values
Space-group type ... Fm-3m, No. 225
Total magnetic moment ... 3.2 μB per cell
V ... 267 Å³ per cell
Uncorrected energy ... -27.9 eV/cell

=====

Record 11
Density functional theory data (PBE-GGA) for an optimized crystal structure of SrMgNiPb. Values from VASP.

Quantum ESPRESSO input file:
```
&SYSTEM
  ibrav = 0, nat = 4, ntyp = 4
/
ATOMIC_SPECIES
Mg 24.30 Mg.upf
Ni 58.69 Ni.upf
Pb 207.20 Pb.upf
Sr 87.62 Sr.upf
ATOMIC_POSITIONS crystal
Mg 0.750 0.750 0.750
Ni 0.500 0.500 0.500
Pb 0.250 0.250 0.250
Sr 0.000 0.000 0.000
CELL_PARAMETERS angstrom
0.000 3.594 3.594
3.594 0.000 3.594
3.594 3.594 0.000
```

Calculated values
Space-group type ... F-43m, No. 216
Total magnetic moment ... 0.0 μB per cell
V ... 93 Å³ per cell
Offset from the most stable computed form ... 39 meV/atom

=====

Record 12
Density functional theory data (PBE-GGA) for an optimized crystal structure of Ho3Mg3Zn2Pt. Values from VASP.

Quantum ESPRESSO input file:
```
&SYSTEM
  ibrav = 0, nat = 9, ntyp = 4
/
ATOMIC_SPECIES
Ho 164.93 Ho.upf
Mg 24.30 Mg.upf
Pt 195.08 Pt.upf
Zn 65.41 Zn.upf
ATOMIC_POSITIONS crystal
Ho 0.595 0.000 0.000
Ho 0.405 0.405 0.000
Ho 0.000 0.595 0.000
Mg 0.240 0.000 0.500
Mg 0.000 0.240 0.500
Mg 0.760 0.760 0.500
Pt 0.000 0.000 0.000
Zn 0.667 0.333 0.500
Zn 0.333 0.667 0.500
CELL_PARAMETERS angstrom
7.426 0.000 0.000
-3.713 6.431 0.000
0.000 0.000 4.181
```

Calculated values
Space-group type ... P-62m, No. 189
Total magnetic moment ... 0.1 μB per cell
V ... 200 Å³ per cell
Uncorrected energy ... -31.3 eV/cell